This record from Alexandria describes crystalline MgNi2Cl at its relaxed geometry. The functional is PBE-GGA.

Its offset from the most stable computed form is 292.5 meV/atom. The density is 5.0 g/cm3. Its crystal system is monoclinic. Its formation energy (no corrections) is 0.1227 eV per atom. The density of states at the Fermi level is 7.1 states/eV/cell.

It has space group C2/m (No. 12), with a = 5.113 Å, b = 9.373 Å, c = 2.964 Å, α = 90.00°, β = 124.87° and γ = 90.00°. The distinct sites, in fractional coordinates, are Mg at (0.000, 0.000, 0.000), Ni at (0.250, 0.250, 0.500) and Cl at (0.000, 0.500, 0.000).

***

This record from Alexandria describes crystalline Th4CdFe at its relaxed geometry. The functional is PBE-GGA.

The calculation puts the formation energy at -0.08 eV per atom. The density is 11.2 g/cm3. Its crystal system is cubic. The density of states at the Fermi level is 140.6 states/eV/cell.

It has space group F-43m (No. 216), with a = 13.764 Å, b = 13.764 Å, c = 13.764 Å, α = 90.00°, β = 90.00° and γ = 90.00°. The distinct sites, in fractional coordinates, are Th at (0.000, 0.000, 0.186), Th at (0.059, 0.250, 0.750), Th at (0.094, 0.094, 0.406), Cd at (0.172, 0.172, 0.172) and Fe at (0.112, 0.112, 0.612).

***

This record from Alexandria describes crystalline Sr2YAu2 at its relaxed geometry. The functional is PBE-GGA.

The calculation puts the formation energy at -0.25 eV per atom. Its offset from the most stable computed form is 359.5 meV/atom. The density is 7.0 g/cm3. Its crystal system is tetragonal. The density of states at the Fermi level is 12.1 states/eV/cell.

It has space group I4/mmm (No. 139), with a = 4.795 Å, b = 4.795 Å, c = 13.575 Å, α = 90.00°, β = 90.00° and γ = 90.00°. The distinct sites, in fractional coordinates, are Sr at (0.000, 0.500, 0.250), Y at (0.000, 0.000, 0.000) and Au at (0.000, 0.000, 0.400).

***

This record from Alexandria describes crystalline TbLuSc2 at its relaxed geometry. The functional is PBE-GGA.

The calculation puts the formation energy at 0.05 eV per atom. Its offset from the most stable computed form is 0.0 meV/atom. The density is 6.4 g/cm3. Its crystal system is tetragonal. The density of states at the Fermi level is 7.3 states/eV/cell.

It has space group P4/mmm (No. 123), with a = 4.832 Å, b = 4.832 Å, c = 4.702 Å, α = 90.00°, β = 90.00° and γ = 90.00°. The distinct sites, in fractional coordinates, are Tb at (0.000, 0.000, 0.000), Lu at (0.500, 0.500, 0.000) and Sc at (0.000, 0.500, 0.500).